Below is an optimized crystal structure of GdLuNi, with properties calculated at the PBE-GGA level.

a b c (Å): 4.059 4.487 4.487
angles (deg): 120.00 90.00 90.00
Fractional positions:
Lu1 0.099 0.000 0.000
Ni1 0.293 0.333 0.667
Gd1 0.607 0.667 0.333

Values from the calculation:
Calculated volume, A^3/atom: 23.6
SG: P3m1, No. 156
Final energy, eV per atom: -8.21
Energy above the most stable polymorph in this dataset, meV per atom: 180
Size of the total moment, μB per formula unit: 7.248
Formation energy, meV per atom: -83